PBEsol Hg2PtRh, relaxed; E = -15.68 eV/cell; space-group type = P4mm (99)
1.0
2.917 0.000 0.000
0.000 2.917 0.000
0.000 0.000 8.141
Hg Pt Rh
2 1 1
Direct
0.000 0.000 0.000 Hg
0.500 0.500 0.302 Hg
0.000 0.000 0.550 Pt
0.500 0.500 0.762 Rh



PBEsol TlVTeO5, relaxed; E_form (uncorrected) = -1595 meV per atom; E = -219.19 eV/cell; space-group type = Pna2_1 (33)
1.0
7.236 0.000 0.000
0.000 8.520 0.000
0.000 0.000 7.742
Tl V Te O
4 4 4 20
Direct
0.024 0.104 0.000 Tl
0.476 0.604 0.500 Tl
0.524 0.396 0.000 Tl
0.976 0.896 0.500 Tl
0.227 0.744 0.123 V
0.273 0.244 0.623 V
0.727 0.756 0.123 V
0.773 0.256 0.623 V
0.012 0.541 0.806 Te
0.488 0.041 0.306 Te
0.512 0.959 0.806 Te
0.988 0.459 0.306 Te
0.059 0.174 0.648 O
0.100 0.550 0.049 O
0.135 0.636 0.357 O
0.229 0.818 0.921 O
0.240 0.427 0.753 O
0.260 0.927 0.253 O
0.271 0.318 0.421 O
0.365 0.136 0.857 O
0.400 0.050 0.549 O
0.441 0.674 0.148 O
0.559 0.326 0.648 O
0.600 0.950 0.049 O
0.635 0.864 0.357 O
0.729 0.682 0.921 O
0.740 0.073 0.753 O
0.760 0.573 0.253 O
0.771 0.182 0.421 O
0.865 0.364 0.857 O
0.900 0.450 0.549 O
0.941 0.826 0.148 O